(1)
## ZnHgPb2 (GGA-PBEsol)

Data for crystalline ZnHgPb2 at its relaxed geometry.

Output
**Electronic total energy**: -9.83 eV for the cell shown
**DOS at the Fermi energy**: 0.3991 states/eV/atom
**SG**: R3m
**Total magnetization**: 0.00 μB per formula unit
**Formation enthalpy at 0 K**: 7.7 kJ per mole of atoms
**Mass density**: 11.4 g cm⁻³
**Polymorph energy (0 for the lowest one)**: 4 kJ/mol of formula units

Cell and atoms, written as extended XYZ:
```
4
Lattice="-2.443 0.433 -2.421 -3.302 -0.782 0.710 -3.361 8.761 2.476" Properties=species:S:1:pos:R:3 pbc="T T T"
Hg -6.780 6.005 0.469
Zn -4.581 4.376 0.441
Pb -3.338 8.614 2.426
Pb -2.322 2.383 0.287
```

---

(2)
## ZnHgPb2 (GGA-PBEsol)

Data for crystalline ZnHgPb2 at its relaxed geometry.

Output
**Electronic total energy**: -9.65 eV for the cell shown
**DOS at the Fermi energy**: 0.4016 states/eV/atom
**SG**: I4/mmm
**Total magnetization**: 0.00 μB per formula unit
**Formation enthalpy at 0 K**: 12.0 kJ per mole of atoms
**Mass density**: 11.5 g cm⁻³
**Polymorph energy (0 for the lowest one)**: 21 kJ/mol of formula units

Cell and atoms, written as extended XYZ:
```
4
Lattice="-2.791 -4.191 0.361 2.651 1.640 4.232 -2.574 2.045 3.831" Properties=species:S:1:pos:R:3 pbc="T T T"
Hg 0.000 0.000 0.000
Pb -2.698 -0.790 5.260
Pb -0.016 0.283 3.164
Zn -2.683 -1.073 2.096
```

---

(3)
## ZnHgPb2 (GGA-PBEsol)

Data for crystalline ZnHgPb2 at its relaxed geometry.

Output
**Electronic total energy**: -9.79 eV for the cell shown
**DOS at the Fermi energy**: 0.4713 states/eV/atom
**SG**: Cm
**Total magnetization**: 0.00 μB per formula unit
**Formation enthalpy at 0 K**: 8.5 kJ per mole of atoms
**Mass density**: 11.6 g cm⁻³
**Polymorph energy (0 for the lowest one)**: 7 kJ/mol of formula units

Cell and atoms, written as extended XYZ:
```
4
Lattice="-0.509 0.550 -3.387 4.819 -2.253 -1.090 -4.405 -3.811 1.820" Properties=species:S:1:pos:R:3 pbc="T T T"
Pb -1.492 -2.319 -1.928
Pb -0.054 -5.413 -2.647
Hg 1.440 -3.172 -0.731
Zn 2.070 -0.974 -2.246
```

---

(4)
## ZnHg2Pb (GGA-PBEsol)

Data for crystalline ZnHg2Pb at its relaxed geometry.

Output
**Electronic total energy**: -6.48 eV for the cell shown
**DOS at the Fermi energy**: 0.3187 states/eV/atom
**SG**: P4/mmm
**Total magnetization**: 0.00 μB per formula unit
**Formation enthalpy at 0 K**: 5.7 kJ per mole of atoms
**Mass density**: 12.5 g cm⁻³

Cell and atoms, written as extended XYZ:
```
4
Lattice="3.388 0.000 0.000 0.000 3.388 0.000 0.000 0.000 7.780" Properties=species:S:1:pos:R:3 pbc="T T T"
Zn 1.694 1.694 3.890
Hg 0.000 0.000 2.280
Hg 0.000 0.000 5.500
Pb 1.694 1.694 0.000
```

---

(5)
## ZrHgPb (GGA-PBEsol)

Data for crystalline ZrHgPb at its relaxed geometry.

Output
**Electronic total energy**: -12.39 eV for the cell shown
**DOS at the Fermi energy**: 1.0378 states/eV/atom
**SG**: F-43m
**Total magnetization**: 0.00 μB per formula unit
**Formation enthalpy at 0 K**: 40.7 kJ per mole of atoms
**Mass density**: 10.6 g cm⁻³

Cell and atoms, written as extended XYZ:
```
3
Lattice="-1.489 1.671 4.254 -2.368 -2.892 3.023 2.118 -1.501 4.046" Properties=species:S:1:pos:R:3 pbc="T T T"
Hg -0.870 -1.361 5.662
Zr 0.000 0.000 0.000
Pb -0.435 -0.680 2.831
```

---

(6)
## Hg5Pd2 (GGA-PBEsol)

Data for crystalline Hg5Pd2 at its relaxed geometry.

Output
**Electronic total energy**: -31.26 eV for the cell shown
**DOS at the Fermi energy**: 0.4190 states/eV/atom
**SG**: P4/mbm
**Total magnetization**: 0.00 μB per formula unit
**Formation enthalpy at 0 K**: -12.1 kJ per mole of atoms
**Mass density**: 14.8 g cm⁻³

Cell and atoms, written as extended XYZ:
```
14
Lattice="2.929 0.000 0.000 0.000 9.642 0.000 0.000 0.000 9.642" Properties=species:S:1:pos:R:3 pbc="T T T"
Hg 0.000 0.604 7.672
Hg 0.000 2.851 5.424
Hg 0.000 6.791 4.217
Hg 0.000 4.821 0.000
Hg 0.000 4.217 2.851
Hg 0.000 5.424 6.791
Hg 0.000 1.970 0.604
Hg 0.000 0.000 4.821
Hg 0.000 9.038 1.970
Hg 0.000 7.672 9.038
Pd 1.464 3.078 7.899
Pd 1.464 1.743 3.078
Pd 1.464 6.564 1.743
Pd 1.464 7.899 6.564
```

---

(7)
## Hg3Pd (GGA-PBEsol)

Data for crystalline Hg3Pd at its relaxed geometry.

Output
**Electronic total energy**: -7.73 eV for the cell shown
**DOS at the Fermi energy**: 0.3423 states/eV/atom
**SG**: Pm-3m
**Total magnetization**: 0.00 μB per formula unit
**Formation enthalpy at 0 K**: -1.7 kJ per mole of atoms
**Mass density**: 15.5 g cm⁻³

Cell and atoms, written as extended XYZ:
```
4
Lattice="-1.250 -3.639 1.766 3.198 -2.021 -1.901 2.477 0.773 3.345" Properties=species:S:1:pos:R:3 pbc="T T T"
Hg 2.837 -0.624 0.722
Hg 0.613 -1.433 2.556
Hg 0.974 -2.830 -0.067
Pd 0.000 0.000 0.000
```

---

(8)
## Hg2PdPt (GGA-PBEsol)

Data for crystalline Hg2PdPt at its relaxed geometry.

Output
**Electronic total energy**: -14.44 eV for the cell shown
**DOS at the Fermi energy**: 0.3423 states/eV/atom
**SG**: Fm-3m
**Total magnetization**: 0.00 μB per formula unit
**Formation enthalpy at 0 K**: -9.3 kJ per mole of atoms
**Mass density**: 17.0 g cm⁻³

Cell and atoms, written as extended XYZ:
```
4
Lattice="4.593 0.000 0.000 2.297 3.978 0.000 2.297 1.326 3.750" Properties=species:S:1:pos:R:3 pbc="T T T"
Hg 2.297 1.326 0.938
Hg 6.890 3.978 2.813
Pt 4.593 2.652 1.875
Pd 0.000 0.000 0.000
```

---

(9)
## RbHgPd3 (GGA-PBEsol)

Data for crystalline RbHgPd3 at its relaxed geometry.

Output
**Electronic total energy**: -12.19 eV for the cell shown
**DOS at the Fermi energy**: 0.3339 states/eV/atom
**SG**: Pm-3m
**Total magnetization**: 0.00 μB per formula unit
**Formation enthalpy at 0 K**: 140.5 kJ per mole of atoms
**Mass density**: 8.1 g cm⁻³

Cell and atoms, written as extended XYZ:
```
5
Lattice="4.993 0.000 0.000 0.000 4.993 0.000 0.000 0.000 4.993" Properties=species:S:1:pos:R:3 pbc="T T T"
Pd 2.496 0.000 0.000
Pd 0.000 0.000 2.496
Pd 0.000 2.496 0.000
Rb 0.000 0.000 0.000
Hg 2.496 2.496 2.496
```

---

(10)
## HgPd3Rh (GGA-PBEsol)

Data for crystalline HgPd3Rh at its relaxed geometry.

Output
**Electronic total energy**: -21.18 eV for the cell shown
**DOS at the Fermi energy**: 1.5350 states/eV/atom
**SG**: Pm-3m
**Total magnetization**: 0.60 μB per formula unit
**Formation enthalpy at 0 K**: 104.2 kJ per mole of atoms
**Mass density**: 9.8 g cm⁻³

Cell and atoms, written as extended XYZ:
```
5
Lattice="4.719 0.000 0.000 0.000 4.719 0.000 0.000 0.000 4.719" Properties=species:S:1:pos:R:3 pbc="T T T"
Pd 0.000 0.000 2.359
Pd 0.000 2.359 0.000
Pd 2.359 0.000 0.000
Rh 0.000 0.000 0.000
Hg 2.359 2.359 2.359
```

---

(11)
## HgPdS2 (GGA-PBEsol)

Data for crystalline HgPdS2 at its relaxed geometry.

Output
**Electronic total energy**: -14.37 eV for the cell shown
**DOS at the Fermi energy**: 0.6618 states/eV/atom
**SG**: R-3m
**Total magnetization**: 0.00 μB per formula unit
**ΔE_f (raw)**: 0.230 eV per atom
**Mass density**: 7.1 g cm⁻³

Cell and atoms, written as extended XYZ:
```
4
Lattice="3.678 0.000 0.000 1.839 3.185 0.000 1.839 1.062 7.428" Properties=species:S:1:pos:R:3 pbc="T T T"
Hg 3.678 2.124 3.714
S 1.839 1.062 5.235
S 5.517 3.185 2.193
Pd 0.000 0.000 0.000
```

---

(12)
## HgSbPd3 (GGA-PBEsol)

Data for crystalline HgSbPd3 at its relaxed geometry.

Output
**Electronic total energy**: -18.76 eV for the cell shown
**DOS at the Fermi energy**: 0.6522 states/eV/atom
**SG**: Pm-3m
**Total magnetization**: 0.00 μB per formula unit
**ΔE_f (raw)**: 0.848 eV per atom
**Mass density**: 9.0 g cm⁻³

Cell and atoms, written as extended XYZ:
```
5
Lattice="4.903 0.000 0.000 0.000 4.903 0.000 0.000 0.000 4.903" Properties=species:S:1:pos:R:3 pbc="T T T"
Pd 0.000 0.000 2.451
Pd 2.451 0.000 0.000
Pd 0.000 2.451 0.000
Hg 0.000 0.000 0.000
Sb 2.451 2.451 2.451
```

---

(13)
## ScHg2Pd (GGA-PBEsol)

Data for crystalline ScHg2Pd at its relaxed geometry.

Output
**Electronic total energy**: -15.73 eV for the cell shown
**DOS at the Fermi energy**: 0.5611 states/eV/atom
**SG**: Fm-3m
**Total magnetization**: 0.00 μB per formula unit
**Formation enthalpy at 0 K**: -49.1 kJ per mole of atoms
**Mass density**: 12.5 g cm⁻³

Cell and atoms, written as extended XYZ:
```
4
Lattice="4.697 0.000 0.000 2.349 4.068 0.000 2.349 1.356 3.835" Properties=species:S:1:pos:R:3 pbc="T T T"
Hg 2.349 1.356 0.959
Hg 7.046 4.068 2.877
Pd 4.697 2.712 1.918
Sc 0.000 0.000 0.000
```

---

(14)
## Hg3Pd8Se9 (GGA-PBEsol)

Data for crystalline Hg3Pd8Se9 at its relaxed geometry.

Output
**Electronic total energy**: -182.01 eV for the cell shown
**DOS at the Fermi energy**: 0.3168 states/eV/atom
**SG**: Pmmn
**Total magnetization**: 0.00 μB per formula unit
**ΔE_f (raw)**: -0.349 eV per atom
**Mass density**: 9.3 g cm⁻³

Cell and atoms, written as extended XYZ:
```
40
Lattice="-3.807 -3.708 3.566 5.029 -0.160 5.203 -6.776 13.657 6.967" Properties=species:S:1:pos:R:3 pbc="T T T"
Se -5.501 6.667 8.189
Se -3.335 2.303 5.962
Se -2.007 -1.102 6.940
Se -3.245 5.755 5.727
Se 0.976 -2.791 6.420
Se -6.521 7.995 11.581
Se -3.943 3.759 8.961
Se -0.737 -0.718 0.691
Se -0.628 5.672 8.435
Se -3.137 6.592 10.634
Se -5.956 10.030 8.429
Se -3.290 9.946 11.188
Se -0.972 2.228 8.408
Se 1.320 0.653 6.447
Se -4.936 8.702 5.037
Se -2.674 4.143 2.711
Se -1.345 0.738 3.689
Se -1.436 -2.714 3.924
Pd -4.695 8.385 9.829
Pd 3.109 0.968 4.695
Pd -5.100 12.291 7.704
Pd -6.762 8.312 6.790
Pd -1.836 4.092 6.934
Pd -6.356 4.406 8.914
Pd -2.986 6.410 8.117
Pd -2.845 -1.051 2.717
Pd -8.470 10.287 8.501
Pd -3.571 1.880 3.509
Pd -2.761 1.913 10.159
Pd -3.961 4.330 11.393
Pd -1.110 1.160 6.143
Pd -5.157 1.989 7.681
Pd -2.467 12.207 10.429
Pd 0.476 1.052 1.970
Hg -2.735 9.098 7.956
Hg -4.731 -0.445 4.558
Hg -6.126 4.162 6.048
Hg -8.722 7.599 8.662
Hg 1.445 -1.122 3.603
Hg 0.050 3.486 5.093
```

---

(15)
## HgPd5Se (GGA-PBEsol)

Data for crystalline HgPd5Se at its relaxed geometry.

Output
**Electronic total energy**: -35.81 eV for the cell shown
**DOS at the Fermi energy**: 0.2888 states/eV/atom
**SG**: P4/mmm
**Total magnetization**: 0.00 μB per formula unit
**ΔE_f (raw)**: -0.228 eV per atom
**Mass density**: 12.0 g cm⁻³

Cell and atoms, written as extended XYZ:
```
7
Lattice="-1.807 -3.315 -1.326 1.838 -2.138 2.840 -5.379 1.182 4.372" Properties=species:S:1:pos:R:3 pbc="T T T"
Pd -2.450 -1.318 0.594
Pd 0.000 0.000 0.000
Pd -0.627 -0.729 2.677
Pd -2.913 -0.227 4.535
Pd -4.735 -0.815 2.451
Hg 0.016 -2.727 0.757
Se -2.689 0.591 2.186
```

---

(16)
## HgPdSe2 (GGA-PBEsol)

Data for crystalline HgPdSe2 at its relaxed geometry.

Output
**Electronic total energy**: -14.89 eV for the cell shown
**DOS at the Fermi energy**: 0.5415 states/eV/atom
**SG**: R-3m
**Total magnetization**: 0.00 μB per formula unit
**ΔE_f (raw)**: -0.166 eV per atom
**Mass density**: 7.9 g cm⁻³

Cell and atoms, written as extended XYZ:
```
4
Lattice="3.822 0.000 0.000 1.911 3.310 0.000 1.911 1.103 7.730" Properties=species:S:1:pos:R:3 pbc="T T T"
Se 1.911 1.103 5.112
Se 5.732 3.310 2.618
Pd 3.822 2.206 3.865
Hg 0.000 0.000 0.000
```

---

(17)
## SmHgPd (GGA-PBEsol)

Data for crystalline SmHgPd at its relaxed geometry.

Output
**Electronic total energy**: -41.54 eV for the cell shown
**DOS at the Fermi energy**: 0.7048 states/eV/atom
**SG**: P-62m
**Total magnetization**: 0.00 μB per formula unit
**Formation enthalpy at 0 K**: -71.7 kJ per mole of atoms
**Mass density**: 11.8 g cm⁻³

Cell and atoms, written as extended XYZ:
```
9
Lattice="-2.128 -0.876 2.998 6.088 -3.229 3.379 -1.504 7.445 1.107" Properties=species:S:1:pos:R:3 pbc="T T T"
Hg 3.359 3.089 3.287
Hg -0.402 1.990 0.296
Hg 1.627 -0.863 0.903
Sm 2.604 -2.383 3.535
Sm 0.758 1.238 3.282
Sm -1.970 4.047 2.166
Pd -1.064 -0.438 1.499
Pd 1.027 3.887 1.864
Pd 3.558 0.329 2.622
```

---

(18)
## Sn2HgPd2 (GGA-PBEsol)

Data for crystalline Sn2HgPd2 at its relaxed geometry.

Output
**Electronic total energy**: -21.43 eV for the cell shown
**DOS at the Fermi energy**: 0.4899 states/eV/atom
**SG**: I4/mmm
**Total magnetization**: 0.00 μB per formula unit
**Formation enthalpy at 0 K**: -8.3 kJ per mole of atoms
**Mass density**: 10.1 g cm⁻³

Cell and atoms, written as extended XYZ:
```
5
Lattice="4.295 0.000 0.000 0.000 4.295 0.000 -2.147 -2.147 5.819" Properties=species:S:1:pos:R:3 pbc="T T T"
Pd 0.000 0.000 4.508
Pd 2.147 2.147 1.312
Hg 0.000 0.000 0.000
Sn 2.147 0.000 2.910
Sn 0.000 2.147 2.910
```

---

(19)
## SrHg2Pd2 (GGA-PBEsol)

Data for crystalline SrHg2Pd2 at its relaxed geometry.

Output
**Electronic total energy**: -16.86 eV for the cell shown
**DOS at the Fermi energy**: 0.3884 states/eV/atom
**SG**: I4/mmm
**Total magnetization**: 0.00 μB per formula unit
**Formation enthalpy at 0 K**: -38.1 kJ per mole of atoms
**Mass density**: 10.5 g cm⁻³
**Polymorph energy (0 for the lowest one)**: 4 kJ/mol of formula units

Cell and atoms, written as extended XYZ:
```
5
Lattice="4.286 0.000 0.000 0.000 4.286 0.000 -2.143 -2.143 6.043" Properties=species:S:1:pos:R:3 pbc="T T T"
Hg 0.000 0.000 4.656
Hg 2.143 2.143 1.386
Pd 2.143 0.000 3.021
Pd 0.000 2.143 3.021
Sr 0.000 0.000 0.000
```

---

(20)
## SrHg2Pd2 (GGA-PBEsol)

Data for crystalline SrHg2Pd2 at its relaxed geometry.

Output
**Electronic total energy**: -33.80 eV for the cell shown
**DOS at the Fermi energy**: 0.2675 states/eV/atom
**SG**: P4/mbm
**Total magnetization**: 0.00 μB per formula unit
**Formation enthalpy at 0 K**: -38.8 kJ per mole of atoms
**Mass density**: 11.4 g cm⁻³
**Polymorph energy (0 for the lowest one)**: 0 kJ/mol of formula units

Cell and atoms, written as extended XYZ:
```
10
Lattice="3.494 0.000 0.000 0.000 7.634 0.000 0.000 0.000 7.634" Properties=species:S:1:pos:R:3 pbc="T T T"
Hg 1.747 5.035 6.416
Hg 1.747 2.599 1.218
Hg 1.747 1.218 5.035
Hg 1.747 6.416 2.599
Sr 0.000 3.817 3.817
Sr 0.000 0.000 0.000
Pd 0.000 6.620 4.831
Pd 0.000 1.014 2.803
Pd 0.000 4.831 1.014
Pd 0.000 2.803 6.620
```